The following is a GGA-PBEsol calculation of an optimized crystal structure of CsMg2P2, from Alexandria via LeMat-Bulk.

a b c (Å): 7.211 7.211 7.211
angles (deg): 143.94 143.94 51.92
Atoms (fractional coordinates):
Cs  0.000  0.000  0.000
Mg  0.250  0.750  0.500
Mg  0.750  0.250  0.500
P  0.353  0.353  0.000
P  0.647  0.647  0.000

Properties
V ... 25.84 Å³ per atom
Space group ... I4/mmm (139)
Total DFT energy (no corrections) ... -3.660 eV per atom
Energy relative to the elements ... -2.339 eV per formula unit

The following is a GGA-PBEsol calculation of an optimized crystal structure of ZnAgAs2, from Alexandria via LeMat-Bulk.

a b c (Å): 4.629 4.629 4.629
angles (deg): 60.00 60.00 60.00
Atoms (fractional coordinates):
Zn  0.000  0.000  0.000
Ag  0.250  0.250  0.250
As  0.500  0.500  0.500
As  0.750  0.750  0.750

Properties
V ... 17.53 Å³ per atom
Space group ... F-43m (216)
Total DFT energy (no corrections) ... -3.465 eV per atom
Energy relative to the elements ... 1.244 eV per formula unit

The following is a GGA-PBEsol calculation of an optimized crystal structure of AgAsRh, from Alexandria via LeMat-Bulk.

a b c (Å): 4.254 4.254 4.254
angles (deg): 60.00 60.00 60.00
Atoms (fractional coordinates):
Ag  0.000  0.000  0.000
As  0.750  0.750  0.750
Rh  0.250  0.250  0.250

Properties
Polymorph energy (0 for the lowest one) ... 694 meV per atom
V ... 18.15 Å³ per atom
Space group ... F-43m (216)
Total DFT energy (no corrections) ... -4.942 eV per atom
Energy relative to the elements ... 1.730 eV per formula unit

The following is a GGA-PBEsol calculation of an optimized crystal structure of CdPd3O4, from Alexandria via LeMat-Bulk.

a b c (Å): 5.730 5.730 5.730
angles (deg): 90.00 90.00 90.00
Atoms (fractional coordinates):
Cd  0.000  0.000  0.000
Cd  0.500  0.500  0.500
Pd  0.000  0.250  0.500
Pd  0.000  0.750  0.500
Pd  0.250  0.500  0.000
Pd  0.500  0.000  0.250
Pd  0.500  0.000  0.750
Pd  0.750  0.500  0.000
O  0.250  0.250  0.250
O  0.250  0.250  0.750
O  0.250  0.750  0.250
O  0.250  0.750  0.750
O  0.750  0.250  0.250
O  0.750  0.250  0.750
O  0.750  0.750  0.250
O  0.750  0.750  0.750

Properties
V ... 11.76 Å³ per atom
Space group ... Pm-3n (223)
Total DFT energy (no corrections) ... -5.636 eV per atom

The following is a GGA-PBEsol calculation of an optimized crystal structure of EuCl3, from Alexandria via LeMat-Bulk.

a b c (Å): 7.387 7.387 4.125
angles (deg): 90.00 90.00 120.00
Atoms (fractional coordinates):
Eu  0.333  0.667  0.250
Eu  0.667  0.333  0.750
Cl  0.085  0.388  0.750
Cl  0.303  0.915  0.750
Cl  0.388  0.303  0.250
Cl  0.612  0.697  0.750
Cl  0.697  0.085  0.250
Cl  0.915  0.612  0.250

Properties
V ... 24.36 Å³ per atom
Space group ... P6_3/m (176)
Total DFT energy (no corrections) ... -6.088 eV per atom

The following is a GGA-PBEsol calculation of an optimized crystal structure of NaCdSeBr2, from Alexandria via LeMat-Bulk.

a b c (Å): 5.490 5.490 5.186
angles (deg): 90.00 90.00 90.00
Atoms (fractional coordinates):
Na  0.000  0.000  0.000
Cd  0.500  0.500  0.500
Se  0.500  0.500  0.000
Br  0.000  0.500  0.500
Br  0.500  0.000  0.500

Properties
V ... 31.26 Å³ per atom
Space group ... P4/mmm (123)
Total DFT energy (no corrections) ... -2.566 eV per atom

The following is a GGA-PBEsol calculation of an optimized crystal structure of AuBr2O, from Alexandria via LeMat-Bulk.

a b c (Å): 8.123 8.123 8.123
angles (deg): 26.00 26.00 26.00
Atoms (fractional coordinates):
Au  0.000  0.000  0.000
Br  0.101  0.101  0.101
Br  0.899  0.899  0.899
O  0.500  0.500  0.500

Properties
V ... 22.68 Å³ per atom
Space group ... R-3m (166)
Total DFT energy (no corrections) ... -2.562 eV per atom

The following is a GGA-PBEsol calculation of an optimized crystal structure of LiPb2Se, from Alexandria via LeMat-Bulk.

a b c (Å): 5.200 5.200 5.200
angles (deg): 60.00 60.00 60.00
Atoms (fractional coordinates):
Li  0.000  0.000  0.000
Pb  0.250  0.250  0.250
Pb  0.500  0.500  0.500
Se  0.750  0.750  0.750

Properties
V ... 24.86 Å³ per atom
Space group ... F-43m (216)
Total DFT energy (no corrections) ... -3.610 eV per atom

The following is a GGA-PBEsol calculation of an optimized crystal structure of CuTcRh2, from Alexandria via LeMat-Bulk.

a b c (Å): 4.683 4.683 4.683
angles (deg): 133.93 133.93 67.20
Atoms (fractional coordinates):
Cu  0.000  0.000  0.000
Tc  0.250  0.750  0.500
Rh  0.500  0.500  0.000
Rh  0.750  0.250  0.500

Properties
Polymorph energy (0 for the lowest one) ... 127 meV per atom
V ... 13.10 Å³ per atom
Space group ... I-4m2 (119)
Total DFT energy (no corrections) ... -7.905 eV per atom
Energy relative to the elements ... 0.259 eV per formula unit

The following is a GGA-PBEsol calculation of an optimized crystal structure of AlPS4, from Alexandria via LeMat-Bulk.

a b c (Å): 5.658 5.659 9.652
angles (deg): 90.00 90.00 90.00
Atoms (fractional coordinates):
Al  0.000  0.000  0.000
Al  0.500  0.000  0.500
P  0.000  0.000  0.500
P  0.000  0.500  0.000
S  0.208  0.276  0.116
S  0.208  0.724  0.884
S  0.224  0.205  0.618
S  0.224  0.795  0.382
S  0.776  0.205  0.382
S  0.776  0.795  0.618
S  0.792  0.276  0.884
S  0.792  0.724  0.116

Properties
V ... 25.75 Å³ per atom
Space group ... P222 (16)
Total DFT energy (no corrections) ... -5.127 eV per atom

The following is a GGA-PBEsol calculation of an optimized crystal structure of Ca2ReAgF, from Alexandria via LeMat-Bulk.

a b c (Å): 5.615 5.615 4.873
angles (deg): 90.00 90.00 90.00
Atoms (fractional coordinates):
Ca  0.000  0.500  0.000
Ca  0.500  0.000  0.000
Re  0.000  0.000  0.500
Ag  0.000  0.000  0.000
F  0.500  0.500  0.500

Properties
V ... 30.72 Å³ per atom
Space group ... P4/mmm (123)
Total DFT energy (no corrections) ... -3.994 eV per atom

The following is a GGA-PBEsol calculation of an optimized crystal structure of TlIr3N, from Alexandria via LeMat-Bulk.

a b c (Å): 4.147 4.147 4.147
angles (deg): 90.00 90.00 90.00
Atoms (fractional coordinates):
Tl  0.000  0.000  0.000
Ir  0.000  0.500  0.500
Ir  0.500  0.000  0.500
Ir  0.500  0.500  0.000
N  0.500  0.500  0.500

Properties
V ... 14.26 Å³ per atom
Space group ... Pm-3m (221)
Total DFT energy (no corrections) ... -7.372 eV per atom